[1]
K2AcP2O6: relaxed, PBE.

a = 5.9659 Å, b = 5.9659 Å, c = 6.7938 Å
α = 90.00°, β = 90.00°, γ = 120.00°
Element x y z (fractional)
K 0.3333 0.6667 0.3651
K 0.6667 0.3333 0.6349
Ac 0.0000 0.0000 0.0000
P 0.3333 0.6667 0.8494
P 0.6667 0.3333 0.1506
O 0.1889 0.8075 0.7649
O 0.1925 0.3813 0.7649
O 0.3813 0.1889 0.2351
O 0.6187 0.8111 0.7649
O 0.8075 0.6187 0.2351
O 0.8111 0.1925 0.2351

**Formation energy (no corrections)**: -2.28 eV per atom
**Fermi-level density of states**: 4.17 states/eV/f.u.
**Magnetization**: 1.00 μB per formula unit



[2]
HoTm4Lu: relaxed, PBE.

a = 6.4437 Å, b = 6.4437 Å, c = 6.4437 Å
α = 60.00°, β = 60.00°, γ = 60.00°
Element x y z (fractional)
Ho 0.0000 0.0000 0.0000
Tm 0.3749 0.3749 0.3749
Tm 0.3749 0.3749 0.8752
Tm 0.3749 0.8752 0.3749
Tm 0.8752 0.3749 0.3749
Lu 0.7500 0.7500 0.7500

**Formation energy from the elements**: 1.58 eV per formula unit
**Fermi-level density of states**: 9.33 states/eV/f.u.
**Magnetization**: 0.00 μB per formula unit



[3]
LiCaPuHg: relaxed, PBE.

a = 5.3371 Å, b = 5.3371 Å, c = 5.3371 Å
α = 60.00°, β = 60.00°, γ = 60.00°
Element x y z (fractional)
Li 0.0000 0.0000 0.0000
Ca 0.7500 0.7500 0.7500
Pu 0.2500 0.2500 0.2500
Hg 0.5000 0.5000 0.5000

**Formation energy from the elements**: -0.04 eV per formula unit
**Fermi-level density of states**: 12.56 states/eV/f.u.
**Magnetization**: 6.39 μB per formula unit



[4]
Ce2B2O7: relaxed, PBE.

a = 5.5620 Å, b = 5.5620 Å, c = 4.3931 Å
α = 97.05°, β = 97.05°, γ = 103.53°
Element x y z (fractional)
Ce 0.2012 0.7988 0.0000
Ce 0.7988 0.2012 0.0000
B 0.3019 0.3019 0.5753
B 0.6981 0.6981 0.4247
O 0.1282 0.4083 0.7604
O 0.1425 0.1425 0.2878
O 0.4083 0.1282 0.7604
O 0.5000 0.5000 0.5000
O 0.5917 0.8718 0.2396
O 0.8575 0.8575 0.7122
O 0.8718 0.5917 0.2396

**Formation energy (no corrections)**: -2.80 eV per atom
**Magnetization**: 0.00 μB per formula unit



[5]
SnSb2W: relaxed, PBE.

a = 12.2630 Å, b = 12.2630 Å, c = 12.2630 Å
α = 14.34°, β = 14.34°, γ = 14.34°
Element x y z (fractional)
Sn 0.0000 0.0000 0.0000
Sb 0.4222 0.4222 0.4222
Sb 0.5778 0.5778 0.5778
W 0.5000 0.5000 0.5000

**Formation energy (no corrections)**: 0.79 eV per atom
**Fermi-level density of states**: 3.60 states/eV/f.u.
**Magnetization**: 0.00 μB per formula unit



[6]
MnZnCo2: relaxed, PBE.

a = 5.3929 Å, b = 5.3929 Å, c = 5.3929 Å
α = 153.80°, β = 132.68°, γ = 54.89°
Element x y z (fractional)
Mn 0.0000 0.0000 0.0000
Zn 0.5000 0.5000 0.0000
Co 0.2247 0.2247 0.0000
Co 0.7753 0.7753 0.0000

**Formation energy from the elements**: 2.16 eV per formula unit
**Fermi-level density of states**: 4.75 states/eV/f.u.
**Magnetization**: 0.93 μB per formula unit



[7]
Ta7Cr: relaxed, PBE.

a = 6.5421 Å, b = 6.5421 Å, c = 6.5421 Å
α = 89.56°, β = 89.56°, γ = 89.56°
Element x y z (fractional)
Ta 0.1281 0.1281 0.1281
Ta 0.1300 0.1300 0.6182
Ta 0.1300 0.6182 0.1300
Ta 0.1321 0.6192 0.6192
Ta 0.3808 0.3808 0.8679
Ta 0.3808 0.8679 0.3808
Ta 0.3818 0.8700 0.8700
Ta 0.6182 0.1300 0.1300
Ta 0.6192 0.1321 0.6192
Ta 0.6192 0.6192 0.1321
Ta 0.8679 0.3808 0.3808
Ta 0.8700 0.3818 0.8700
Ta 0.8700 0.8700 0.3818
Ta 0.8719 0.8719 0.8719
Cr 0.3755 0.3755 0.3755
Cr 0.6245 0.6245 0.6245

**Energy relative to the lowest polymorph listed for this composition**: 0.000 eV/atom
**Formation energy from the elements**: 0.36 eV per formula unit
**Fermi-level density of states**: 11.47 states/eV/f.u.
**Magnetization**: 0.00 μB per formula unit



[8]
Ag2SbMo: relaxed, PBE.

a = 3.4650 Å, b = 3.4650 Å, c = 6.2835 Å
α = 90.00°, β = 90.00°, γ = 90.00°
Element x y z (fractional)
Ag 0.0000 0.0000 0.0000
Ag 0.5000 0.5000 0.2231
Sb 0.5000 0.5000 0.6993
Mo 0.0000 0.0000 0.4949

**Formation energy (no corrections)**: 0.34 eV per atom
**Fermi-level density of states**: 3.31 states/eV/f.u.
**Magnetization**: 0.00 μB per formula unit